[1]
# Co2NiSn4

A relaxed Co2NiSn4 crystal (PBE, Alexandria).

a = 6.8673 Å, b = 6.9145 Å, c = 7.1971 Å
α = 105.64°, β = 105.01°, γ = 116.48°
Space group P1 (No. 1)
Asymmetric unit:
Co 0.0000 0.0000 0.0000
Co 0.0090 0.0142 0.5883
Co 0.5755 0.5626 0.5880
Co 0.7523 0.2554 0.5073
Ni 0.2903 0.8107 0.0848
Ni 0.7763 0.2778 0.0932
Sn 0.0206 0.7117 0.7054
Sn 0.0433 0.3390 0.8914
Sn 0.0960 0.2954 0.3993
Sn 0.4579 0.2657 0.2133
Sn 0.4844 0.2308 0.7228
Sn 0.5467 0.8125 0.4058
Sn 0.5562 0.8078 0.8993
Sn 0.9627 0.7481 0.2240

Computed properties:
Fermi-level density of states: 3.57 states/eV/f.u.
size of the total moment: 0.00 μB/cell
calculated total energy: -5.206 eV per atom



[2]
# CoNiSn3

A relaxed CoNiSn3 crystal (PBE, Alexandria).

a = 3.2785 Å, b = 7.6126 Å, c = 8.7209 Å
α = 102.55°, β = 100.78°, γ = 102.35°
Space group P-1 (No. 2)
Asymmetric unit:
Co 0.1338 0.1296 0.1386
Ni 0.0368 0.7597 0.3125
Sn 0.2955 0.1526 0.4382
Sn 0.3638 0.4795 0.2446
Sn 0.4651 0.8379 0.0911

Computed properties:
Fermi-level density of states: 3.07 states/eV/f.u.
energy above the most stable polymorph in this dataset: 0 kJ/mol of formula units
size of the total moment: 0.72 μB/cell



[3]
# Co2NiSn5

A relaxed Co2NiSn5 crystal (PBE, Alexandria).

a = 4.9311 Å, b = 11.8099 Å, c = 12.3660 Å
α = 90.00°, β = 90.00°, γ = 90.00°
Space group Cmcm (No. 63)
Asymmetric unit:
Co 0.0000 0.1667 0.0474
Ni 0.0000 0.1901 0.7500
Sn 0.0000 0.0309 0.6191
Sn 0.0000 0.2504 0.2500
Sn 0.0000 0.3353 0.5891

Computed properties:
Fermi-level density of states: 5.84 states/eV/f.u.
size of the total moment: 0.00 μB/cell
calculated total energy: -4.905 eV per atom